(1)
## YIn2Au2 (PBE)

Data for a geometry-optimized YIn2Au2 structure.

abc: 4.2355 4.2355 7.1536
angles: 72.78 72.78 90.00
Closest atoms and distances in Å follow each position.
Fractional positions:
Y 0.0000 0.0000 0.0000  8 Au 3.28
In 0.2500 0.7500 0.5000  4 Au 2.85, 4 In 2.99
Au 0.3971 0.3971 0.2057  1 Au 2.67, 4 In 2.85
In 0.7500 0.2500 0.5000  4 Au 2.85, 4 In 2.99
Au 0.6029 0.6029 0.7943  1 Au 2.67, 4 In 2.85

**E_form**: -0.48 eV/atom
**Space-group type**: I4/mmm
**Total magnetization**: 0.00 μB/f.u.

=====

(2)
## Y2In5Au3 (PBE)

Data for a geometry-optimized Y2In5Au3 structure.

abc: 13.7099 13.7099 7.4718
angles: 90.00 90.00 160.73
Closest atoms and distances in Å follow each position.
Fractional positions:
Y 0.4793 0.5207 0.2274  5 Au 3.01-3.34, 2 In 3.27
Au 0.7742 0.2258 0.2725  7 In 2.82-2.86
Y 0.5207 0.4793 0.7274  5 Au 3.01-3.34, 2 In 3.27
In 0.4006 0.5994 0.5892  3 Au 2.80-2.89, 1 In 2.97
In 0.7053 0.2947 0.9826  3 Au 2.83-2.86, 2 In 2.97-3.14
Au 0.0445 0.9555 0.0046  5 In 2.77-2.89
In 0.0530 0.9470 0.3903  4 Au 2.77-2.89
Au 0.3924 0.6076 0.9755  6 In 2.76-3.04, 1 Y 3.01
In 0.5994 0.4006 0.0892  3 Au 2.80-2.90, 1 In 2.97
In 0.8790 0.1210 0.2379  4 Au 2.84-3.04, 1 In 3.18
Au 0.2258 0.7742 0.7725  7 In 2.82-2.86
In 0.1210 0.8790 0.7379  4 Au 2.84-3.04, 1 In 3.18
Y 0.8245 0.1755 0.7718  9 In 3.25-3.59, 4 Au 3.31-3.52
Au 0.9555 0.0445 0.5046  5 In 2.77-2.89
Y 0.1755 0.8245 0.2718  9 In 3.25-3.59, 4 Au 3.31-3.52
In 0.2948 0.7052 0.4826  3 Au 2.83-2.86, 2 In 2.97-3.14
In 0.2931 0.7069 0.0628  4 Au 2.76-2.83
Au 0.6076 0.3924 0.4755  6 In 2.76-3.04, 1 Y 3.01
In 0.7069 0.2931 0.5628  4 Au 2.76-2.83
In 0.9470 0.0530 0.8903  4 Au 2.77-2.89

**E_form**: -0.50 eV/atom
**Space-group type**: Cmc2_1
**Total magnetization**: 0.00 μB/f.u.

=====

(3)
## YInAu4 (PBE)

Data for a geometry-optimized YInAu4 structure.

abc: 5.0961 5.1322 5.3140
angles: 61.13 90.00 90.00
Closest atoms and distances in Å follow each position.
Fractional positions:
Au 0.5013 0.6702 0.1589  5 Au 2.96-3.13, 2 In 2.99, 3 Y 3.01-3.09
In 0.0012 0.5017 0.4955  10 Au 2.99-3.06
Au 0.5013 0.3337 0.8319  5 Au 2.96-3.13, 2 In 2.99, 3 Y 3.01-3.09
Au 0.0013 0.8310 0.8370  5 Au 2.96-3.18, 2 Y 3.00, 3 In 3.02-3.06
Y 0.5013 0.0019 0.4954  10 Au 3.00-3.09
Au 0.0013 0.1726 0.1539  5 Au 2.96-3.18, 2 Y 3.00, 3 In 3.02-3.06

**E_form**: -0.52 eV/atom
**Space-group type**: Cmmm
**Energy relative to the lowest polymorph listed for this composition**: 0 meV per atom
**Total magnetization**: 0.00 μB/f.u.

=====

(4)
## YIn2Au (PBE)

Data for a geometry-optimized YIn2Au structure.

abc: 5.1010 5.1010 5.1010
angles: 60.00 60.00 60.00
Closest atoms and distances in Å follow each position.
Fractional positions:
In 0.0000 0.0000 0.0000  4 In 3.12, 4 Y 3.12
In 0.2500 0.2500 0.2500  4 In 3.12, 4 Au 3.12
Y 0.7500 0.7500 0.7500  4 In 3.12, 4 Au 3.12
Au 0.5000 0.5000 0.5000  4 Y 3.12, 4 In 3.12

**E_form**: -0.44 eV/atom
**Space-group type**: F-43m
**Total magnetization**: 0.00 μB/f.u.

=====

(5)
## YIn2Au6 (PBE)

Data for a geometry-optimized YIn2Au6 structure.

abc: 5.2939 8.8634 8.8634
angles: 119.05 90.70 90.70
Closest atoms and distances in Å follow each position.
Fractional positions:
In 0.9985 0.1615 0.3392  10 Au 2.92-3.07
Au 0.4976 0.0044 0.1654  5 Au 2.90-3.11, 4 In 2.98-3.07, 1 Y 3.02
In 0.5015 0.6608 0.8385  10 Au 2.92-3.07
Au 0.2562 0.9139 0.4132  2 In 2.92, 5 Au 2.94-3.16, 3 Y 3.03
Au 0.0024 0.8346 0.9956  5 Au 2.90-3.11, 4 In 2.98-3.07, 1 Y 3.02
Au 0.0012 0.4960 0.3344  5 Au 2.90-3.10, 4 In 2.99-3.05, 1 Y 3.02
Au 0.9988 0.5040 0.6656  5 Au 2.90-3.10, 4 In 2.99-3.05, 1 Y 3.02
Au 0.7438 0.0861 0.5868  2 In 2.92, 5 Au 2.94-3.16, 3 Y 3.03
Au 0.7562 0.4132 0.9139  2 In 2.92, 5 Au 2.94-3.16, 3 Y 3.03
Y 0.7500 0.7502 0.2498  10 Au 3.02-3.03
In 0.0015 0.8385 0.6608  10 Au 2.92-3.07
Au 0.4988 0.6656 0.5040  5 Au 2.90-3.10, 4 In 2.99-3.05, 1 Y 3.02
Au 0.5012 0.3344 0.4960  5 Au 2.90-3.10, 4 In 2.99-3.05, 1 Y 3.02
Au 0.9976 0.1654 0.0044  5 Au 2.90-3.11, 4 In 2.98-3.07, 1 Y 3.02
Au 0.2438 0.5868 0.0861  2 In 2.92, 5 Au 2.94-3.16, 3 Y 3.03
In 0.4985 0.3392 0.1615  10 Au 2.92-3.07
Y 0.2500 0.2498 0.7502  10 Au 3.02-3.03
Au 0.5024 0.9956 0.8346  5 Au 2.90-3.11, 4 In 2.98-3.07, 1 Y 3.02

**E_form**: -0.36 eV/atom
**Space-group type**: C2/c
**Total magnetization**: 0.00 μB/f.u.

=====

(6)
## Y4InAu (PBE)

Data for a geometry-optimized Y4InAu structure.

abc: 5.4232 6.9867 9.7923
angles: 90.00 116.08 90.00
Closest atoms and distances in Å follow each position.
Fractional positions:
Y 0.0618 0.9894 0.7569  2 Au 3.05-3.25, 1 Y 3.34, 1 In 3.37
Y 0.6616 0.2500 0.8831  1 Au 3.01, 2 In 3.20-3.23
Y 0.0618 0.5106 0.7569  2 Au 3.05-3.25, 1 Y 3.34, 1 In 3.37
In 0.3150 0.2500 0.0799  11 Y 3.16-3.52
Au 0.2238 0.2500 0.5592  5 Y 2.85-3.05
In 0.6850 0.7500 0.9201  11 Y 3.16-3.52
Y 0.3833 0.7500 0.5610  2 Au 2.85-2.97, 1 In 3.16
Y 0.9382 0.4894 0.2431  2 Au 3.05-3.25, 1 Y 3.34, 1 In 3.37
Y 0.3384 0.7500 0.1169  1 Au 3.01, 2 In 3.20-3.23
Au 0.7762 0.7500 0.4408  5 Y 2.85-3.05
Y 0.6167 0.2500 0.4390  2 Au 2.85-2.97, 1 In 3.16
Y 0.9382 0.0106 0.2431  2 Au 3.05-3.25, 1 Y 3.34, 1 In 3.37

**E_form**: -0.47 eV/atom
**Space-group type**: P2_1/m
**Energy relative to the lowest polymorph listed for this composition**: 0 meV per atom
**Total magnetization**: 0.00 μB/f.u.